# 1
The following is a GGA-PBEsol calculation of a relaxed structure of Sr6Sn2NF, from Alexandria.

Unit cell a=7.309 b=7.309 c=7.309 alpha=60.00 beta=60.00 gamma=60.00
Sites, in units of the cell vectors:
Sr 0.242 0.242 0.758
Sr 0.242 0.758 0.242
Sr 0.242 0.758 0.758
Sr 0.758 0.242 0.242
Sr 0.758 0.242 0.758
Sr 0.758 0.758 0.242
Sn 0.250 0.250 0.250
Sn 0.750 0.750 0.750
N 0.000 0.000 0.000
F 0.500 0.500 0.500

Results
ΔE_f (raw), eV/atom: -1.23
Electronic total energy, eV/atom: -4.2323

***

# 2
The following is a GGA-PBEsol calculation of a relaxed structure of TcSnNF2, from Alexandria.

Unit cell a=4.277 b=4.277 c=4.017 alpha=90.00 beta=90.00 gamma=90.00
Sites, in units of the cell vectors:
Tc 0.000 0.000 0.000
Sn 0.500 0.500 0.500
N 0.500 0.500 0.000
F 0.000 0.500 0.500
F 0.500 0.000 0.500

Results
ΔE_f (raw), eV/atom: 0.08
Electronic total energy, eV/atom: -5.5029

***

# 3
The following is a GGA-PBEsol calculation of a relaxed structure of Y2SnNF, from Alexandria.

Unit cell a=4.519 b=4.519 c=4.570 alpha=90.00 beta=90.00 gamma=90.00
Sites, in units of the cell vectors:
Y 0.000 0.500 0.000
Y 0.500 0.000 0.000
Sn 0.000 0.000 0.500
N 0.500 0.500 0.500
F 0.500 0.500 0.000

Results
ΔE_f (raw), eV/atom: -0.53
Electronic total energy, eV/atom: -6.1991

***

# 4
The following is a GGA-PBEsol calculation of a relaxed structure of ZrSnN2F, from Alexandria.

Unit cell a=4.251 b=4.251 c=4.101 alpha=90.00 beta=90.00 gamma=90.00
Sites, in units of the cell vectors:
Zr 0.000 0.000 0.000
Sn 0.500 0.500 0.500
N 0.000 0.500 0.000
N 0.500 0.000 0.000
F 0.000 0.000 0.500

Results
ΔE_f (raw), eV/atom: -0.86
Electronic total energy, eV/atom: -7.3264

***

# 5
The following is a GGA-PBEsol calculation of a relaxed structure of SrN2F2, from Alexandria.

Unit cell a=3.604 b=3.604 c=4.875 alpha=90.00 beta=90.00 gamma=90.00
Sites, in units of the cell vectors:
Sr 0.000 0.000 0.000
N 0.000 0.500 0.500
N 0.500 0.000 0.500
F 0.500 0.500 0.000
F 0.500 0.500 0.500

Results
ΔE_f (raw), eV/atom: 0.22
Electronic total energy, eV/atom: -4.3270

***

# 6
The following is a GGA-PBEsol calculation of a relaxed structure of SrZnN2F, from Alexandria.

Unit cell a=5.123 b=5.123 c=4.563 alpha=90.00 beta=90.00 gamma=90.00
Sites, in units of the cell vectors:
Sr 0.000 0.000 0.000
Zn 0.500 0.500 0.500
N 0.000 0.500 0.000
N 0.500 0.000 0.000
F 0.000 0.000 0.500

Results
ΔE_f (raw), eV/atom: 0.69
Electronic total energy, eV/atom: -3.7860

***

Please write out number 3 again, unchanged.
The following is a GGA-PBEsol calculation of a relaxed structure of Y2SnNF, from Alexandria.

Unit cell a=4.519 b=4.519 c=4.570 alpha=90.00 beta=90.00 gamma=90.00
Sites, in units of the cell vectors:
Y 0.000 0.500 0.000
Y 0.500 0.000 0.000
Sn 0.000 0.000 0.500
N 0.500 0.500 0.500
F 0.500 0.500 0.000

Results
ΔE_f (raw), eV/atom: -0.53
Electronic total energy, eV/atom: -6.1991